{
  "formula": "BeSiTe2",
  "functional": "GGA-PBE",
  "state": "optimized geometry",
  "lattice_angstrom": [[3.184, 0.000, 0.000], [0.000, 3.184, 0.000], [0.000, 0.000, 9.494]],
  "species": ["Be", "Te", "Te", "Si"],
  "frac_coords": [[0.000, 0.000, 0.670], [0.500, 0.500, 0.319], [0.000, 0.000, 0.922], [0.500, 0.500, 0.589]],
  "relative_energy_ev_per_fu": 0.218,
  "formation_energy_uncorrected_kcal_per_mol_atoms": 3.4,
  "energy_ev_per_atom": -3.710,
  "m_tot_mub_per_atom": 0.0000,
  "sg": "No. 99",
  "n_ef_per_ev_atom": 0.281,
  "vol_a3_per_atom": 24.1
}



{
  "formula": "BeSi2Te",
  "functional": "GGA-PBE",
  "state": "optimized geometry",
  "lattice_angstrom": [[4.609, 0.000, 0.000], [2.305, 3.992, 0.000], [2.305, 1.331, 3.764]],
  "species": ["Si", "Si", "Be", "Te"],
  "frac_coords": [[0.000, 0.000, 0.000], [0.250, 0.250, 0.250], [0.500, 0.500, 0.500], [0.750, 0.750, 0.750]],
  "relative_energy_ev_per_fu": 2.640,
  "formation_energy_uncorrected_kcal_per_mol_atoms": 18.6,
  "energy_ev_per_atom": -3.621,
  "m_tot_mub_per_atom": 0.0000,
  "sg": "No. 216",
  "n_ef_per_ev_atom": 0.727,
  "vol_a3_per_atom": 17.3
}



{
  "formula": "BeSiTe2",
  "functional": "GGA-PBE",
  "state": "optimized geometry",
  "lattice_angstrom": [[2.022, 0.000, 8.972], [-1.011, 1.751, 8.972], [-1.011, -1.751, 8.972]],
  "species": ["Te", "Te", "Be", "Si"],
  "frac_coords": [[0.892, 0.892, 0.892], [0.108, 0.108, 0.108], [0.500, 0.500, 0.500], [0.000, 0.000, 0.000]],
  "relative_energy_ev_per_fu": 1.465,
  "formation_energy_uncorrected_kcal_per_mol_atoms": 10.6,
  "energy_ev_per_atom": -3.398,
  "m_tot_mub_per_atom": 0.0000,
  "sg": "No. 166",
  "n_ef_per_ev_atom": 0.571,
  "vol_a3_per_atom": 23.8
}



{
  "formula": "BeSi2Te",
  "functional": "GGA-PBE",
  "state": "optimized geometry",
  "lattice_angstrom": [[-2.781, 1.422, -0.888], [-0.395, -1.596, 2.801], [1.884, 5.977, 3.671]],
  "species": ["Te", "Si", "Si", "Be"],
  "frac_coords": [[0.000, 0.000, 0.534], [0.500, 0.500, 0.192], [0.000, 0.000, 0.980], [0.500, 0.500, 0.794]],
  "relative_energy_ev_per_fu": 1.773,
  "formation_energy_uncorrected_kcal_per_mol_atoms": 13.6,
  "energy_ev_per_atom": -3.838,
  "m_tot_mub_per_atom": 0.0000,
  "sg": "No. 35",
  "n_ef_per_ev_atom": 0.321,
  "vol_a3_per_atom": 18.0
}



{
  "formula": "BeSiTe2",
  "functional": "GGA-PBE",
  "state": "optimized geometry",
  "lattice_angstrom": [[-0.317, 1.022, -3.566], [-3.768, -0.844, 0.093], [-1.161, 6.334, 1.919]],
  "species": ["Te", "Te", "Be", "Si"],
  "frac_coords": [[0.000, 0.106, 0.007], [0.000, 0.394, 0.493], [0.500, 0.250, 0.250], [0.500, 0.750, 0.750]],
  "relative_energy_ev_per_fu": 1.547,
  "formation_energy_uncorrected_kcal_per_mol_atoms": 11.1,
  "energy_ev_per_atom": -3.378,
  "m_tot_mub_per_atom": 0.0000,
  "sg": "No. 10",
  "n_ef_per_ev_atom": 0.394,
  "vol_a3_per_atom": 24.1
}



{
  "formula": "BeSi2Te",
  "functional": "GGA-PBE",
  "state": "optimized geometry",
  "lattice_angstrom": [[-5.801, -2.360, -0.044], [-2.810, -4.285, -3.601], [5.025, 1.515, 3.418]],
  "species": ["Be", "Si", "Si", "Te"],
  "frac_coords": [[0.250, 0.750, 0.500], [0.477, 0.477, 0.000], [0.023, 0.023, 0.000], [0.750, 0.250, 0.500]],
  "relative_energy_ev_per_fu": 1.779,
  "formation_energy_uncorrected_kcal_per_mol_atoms": 13.6,
  "energy_ev_per_atom": -3.837,
  "m_tot_mub_per_atom": 0.0000,
  "sg": "No. 71",
  "n_ef_per_ev_atom": 0.393,
  "vol_a3_per_atom": 18.1
}



{
  "formula": "BeSi2Te",
  "functional": "GGA-PBE",
  "state": "optimized geometry",
  "lattice_angstrom": [[3.907, 0.020, 0.065], [1.992, 3.361, 0.065], [0.299, 0.171, 6.524]],
  "species": ["Si", "Si", "Te", "Be"],
  "frac_coords": [[0.829, 0.829, 0.836], [0.151, 0.151, 0.944], [0.420, 0.420, 0.426], [0.101, 0.101, 0.294]],
  "relative_energy_ev_per_fu": 0.000,
  "formation_energy_uncorrected_kcal_per_mol_atoms": 3.4,
  "energy_ev_per_atom": -4.281,
  "m_tot_mub_per_atom": 0.0000,
  "sg": "No. 8",
  "n_ef_per_ev_atom": 0.115,
  "vol_a3_per_atom": 21.3
}



{
  "formula": "BeSiTe2",
  "functional": "GGA-PBE",
  "state": "optimized geometry",
  "lattice_angstrom": [[5.867, -0.002, 0.002], [1.124, 5.758, 0.002], [2.254, 1.856, 3.362]],
  "species": ["Te", "Te", "Si", "Be"],
  "frac_coords": [[0.500, 0.500, 0.000], [0.000, 0.000, 0.000], [0.000, 0.500, 0.500], [0.500, 0.000, 0.500]],
  "relative_energy_ev_per_fu": 1.570,
  "formation_energy_uncorrected_kcal_per_mol_atoms": 11.2,
  "energy_ev_per_atom": -3.372,
  "m_tot_mub_per_atom": 0.0000,
  "sg": "No. 12",
  "n_ef_per_ev_atom": 0.338,
  "vol_a3_per_atom": 28.4
}



{
  "formula": "BeSi2Te",
  "functional": "GGA-PBE",
  "state": "optimized geometry",
  "lattice_angstrom": [[3.406, 0.000, 0.000], [0.000, 3.533, 0.000], [0.000, 0.000, 6.407]],
  "species": ["Be", "Si", "Si", "Te"],
  "frac_coords": [[0.500, 0.500, 0.758], [0.500, 0.500, 0.117], [0.000, 0.000, 0.026], [0.000, 0.000, 0.599]],
  "relative_energy_ev_per_fu": 1.054,
  "formation_energy_uncorrected_kcal_per_mol_atoms": 9.5,
  "energy_ev_per_atom": -4.018,
  "m_tot_mub_per_atom": 0.0000,
  "sg": "No. 25",
  "n_ef_per_ev_atom": 0.184,
  "vol_a3_per_atom": 19.3
}



{
  "formula": "BeSiTe2",
  "functional": "GGA-PBE",
  "state": "optimized geometry",
  "lattice_angstrom": [[3.949, -0.007, 0.011], [1.980, 3.417, 0.011], [1.977, 1.137, 6.454]],
  "species": ["Be", "Te", "Te", "Si"],
  "frac_coords": [[0.250, 0.250, 0.250], [0.508, 0.508, 0.479], [0.992, 0.992, 0.021], [0.750, 0.750, 0.750]],
  "relative_energy_ev_per_fu": 0.372,
  "formation_energy_uncorrected_kcal_per_mol_atoms": 4.3,
  "energy_ev_per_atom": -3.672,
  "m_tot_mub_per_atom": 0.0000,
  "sg": "No. 12",
  "n_ef_per_ev_atom": 0.237,
  "vol_a3_per_atom": 21.8
}



{
  "formula": "BeSiTe2",
  "functional": "GGA-PBE",
  "state": "optimized geometry",
  "lattice_angstrom": [[3.248, -0.051, 0.000], [-1.134, 3.044, 0.000], [0.000, 0.000, 9.216]],
  "species": ["Si", "Te", "Te", "Be"],
  "frac_coords": [[0.500, 0.500, 0.689], [0.000, 0.000, 0.940], [0.500, 0.500, 0.343], [0.000, 0.000, 0.528]],
  "relative_energy_ev_per_fu": 1.348,
  "formation_energy_uncorrected_kcal_per_mol_atoms": 9.9,
  "energy_ev_per_atom": -3.427,
  "m_tot_mub_per_atom": 0.0000,
  "sg": "No. 35",
  "n_ef_per_ev_atom": 0.472,
  "vol_a3_per_atom": 22.6
}



{
  "formula": "BeSiTe2",
  "functional": "GGA-PBE",
  "state": "optimized geometry",
  "lattice_angstrom": [[-3.752, -6.201, -0.661], [-1.605, -6.569, 2.692], [-3.215, 1.883, 2.265]],
  "species": ["Te", "Te", "Si", "Be"],
  "frac_coords": [[0.274, 0.274, 0.354], [0.994, 0.994, 0.793], [0.800, 0.800, 0.796], [0.433, 0.433, 0.558]],
  "relative_energy_ev_per_fu": 0.148,
  "formation_energy_uncorrected_kcal_per_mol_atoms": 3.0,
  "energy_ev_per_atom": -3.727,
  "m_tot_mub_per_atom": 0.0000,
  "sg": "No. 8",
  "n_ef_per_ev_atom": 0.041,
  "vol_a3_per_atom": 30.5
}



{
  "formula": "BeSi2Te",
  "functional": "GGA-PBE",
  "state": "optimized geometry",
  "lattice_angstrom": [[6.357, -0.009, -0.006], [5.225, 3.621, -0.006], [5.225, 1.629, 3.234]],
  "species": ["Si", "Si", "Te", "Be"],
  "frac_coords": [[0.993, 0.993, 0.993], [0.275, 0.275, 0.275], [0.483, 0.483, 0.483], [0.749, 0.749, 0.749]],
  "relative_energy_ev_per_fu": 0.771,
  "formation_energy_uncorrected_kcal_per_mol_atoms": 7.8,
  "energy_ev_per_atom": -4.089,
  "m_tot_mub_per_atom": 0.0000,
  "sg": "No. 160",
  "n_ef_per_ev_atom": 0.311,
  "vol_a3_per_atom": 18.7
}



{
  "formula": "BeSiTe2",
  "functional": "GGA-PBE",
  "state": "optimized geometry",
  "lattice_angstrom": [[-2.546, -0.464, 3.504], [3.833, -1.862, -0.901], [3.535, 5.672, 3.319]],
  "species": ["Be", "Te", "Te", "Si"],
  "frac_coords": [[0.500, 0.500, 0.250], [0.000, 0.000, 0.020], [0.000, 0.000, 0.480], [0.500, 0.500, 0.750]],
  "relative_energy_ev_per_fu": 1.529,
  "formation_energy_uncorrected_kcal_per_mol_atoms": 11.0,
  "energy_ev_per_atom": -3.382,
  "m_tot_mub_per_atom": 0.0000,
  "sg": "No. 65",
  "n_ef_per_ev_atom": 0.337,
  "vol_a3_per_atom": 27.3
}



{
  "formula": "BeSi2Te",
  "functional": "GGA-PBE",
  "state": "optimized geometry",
  "lattice_angstrom": [[-2.798, 0.240, 0.687], [0.044, -2.797, -0.727], [1.896, -2.173, 8.478]],
  "species": ["Si", "Si", "Te", "Be"],
  "frac_coords": [[0.000, 0.000, 0.592], [0.000, 0.000, 0.908], [0.500, 0.500, 0.250], [0.500, 0.500, 0.750]],
  "relative_energy_ev_per_fu": 1.462,
  "formation_energy_uncorrected_kcal_per_mol_atoms": 11.8,
  "energy_ev_per_atom": -3.916,
  "m_tot_mub_per_atom": 0.0000,
  "sg": "No. 65",
  "n_ef_per_ev_atom": 0.147,
  "vol_a3_per_atom": 18.5
}